# Ho2ErGa2

Ho2ErGa2 after structural relaxation (PBE, the Alexandria database).

It has space group P4/mbm (No. 127), with a = 7.617 Å, b = 7.617 Å, c = 4.279 Å, α = 90.00°, β = 90.00° and γ = 90.00°. Symmetry generates all atoms from Ho at (0.175, 0.325, 0.000), Er at (0.000, 0.000, 0.500) and Ga at (0.120, 0.620, 0.500).

As for the crystal system: tetragonal. The relative energy among the computed polymorphs is 0.0 meV per atom. The density of states at the Fermi level is 11.1 states/eV per cell.